# PrZnInTe3

A geometry-optimized PrZnInTe3 structure (PBE-GGA, the Open Quantum Materials Database).

```
PrZnInTe3
1.0
-11.459 4.937 2.231
-1.862 -4.163 -0.349
1.719 -1.854 12.930
Te Zn In Pr
12 4 4 4
direct
0.541 0.500 0.643
0.283 0.000 0.692
0.896 0.500 0.560
0.717 0.500 0.308
0.959 0.000 0.143
0.041 0.500 0.857
0.783 0.000 0.808
0.396 0.500 0.940
0.217 0.500 0.192
0.104 0.000 0.440
0.459 0.000 0.357
0.604 0.000 0.060
0.258 0.000 0.300
0.758 0.000 0.200
0.242 0.500 0.800
0.742 0.500 0.700
0.682 0.000 0.505
0.318 0.500 0.495
0.818 0.500 0.005
0.182 0.000 0.995
0.525 0.000 0.817
0.475 0.500 0.183
0.025 0.000 0.683
0.975 0.500 0.317
```

Volume ... 31.8 Å³ per atom
Energy relative to the lowest polymorph listed for this composition ... 0.018 eV/atom
Spin magnetization ... 0.003 μB/cell
Space-group type ... Pnma